CeErPtO6 | PBE | relaxed

a b c (Å): 4.9862 4.9862 10.1441
angles (deg): 90.00 90.00 90.00
With the nearest neighbours (Å) after each atom.
Space group P4_2nm (No. 102)
Inequivalent atoms, fractional coordinates:
1 Ce 0.0000 0.0000 0.0000 x2  6 O 2.22-2.30
2 Er 0.0000 0.0000 0.6628 x2  6 O 2.21-2.28
3 Pt 0.0000 0.0000 0.3310 x2  6 O 2.01
4 O 0.1861 0.1861 0.4812 x4  1 Pt 2.01, 1 Ce 2.22
5 O 0.1874 0.1874 0.1813 x4  1 Pt 2.01, 1 Er 2.21
6 O 0.2153 0.2153 0.8300 x4  1 Pt 2.01

Computed properties:
- Final energy: -132.140 eV for the cell shown
- Calculated volume: 14.01 A^3/atom
- Formation energy without anion corrections: -2.20 eV per atom